Entry 1:
LiZr2Tc: relaxed, GGA-PBE.

```
data_LiZr2Tc
_space_group_name_H-M_alt 'P 1'
_space_group_IT_number 1
_space_group_name_Hall 'P 1'
_cell_length_a 4.646
_cell_length_b 3.346
_cell_length_c 4.646
_cell_angle_alpha 90.00
_cell_angle_beta 90.00
_cell_angle_gamma 90.00
loop_
_atom_site_label
_atom_site_type_symbol
_atom_site_fract_x
_atom_site_fract_y
_atom_site_fract_z
Tc1 Tc 0.500 0.625 0.875
Zr1 Zr 0.000 0.125 0.875
Zr2 Zr 0.500 0.125 0.375
Li1 Li 0.000 0.624 0.375
```

Computed properties:
ΔH_f (0 K)   -0.099 eV/atom



Entry 2:
LiZr6Tc5: relaxed, GGA-PBE.

```
data_LiZr6Tc5
_space_group_name_H-M_alt 'P 1'
_space_group_IT_number 1
_space_group_name_Hall 'P 1'
_cell_length_a 4.680
_cell_length_b 6.604
_cell_length_c 8.065
_cell_angle_alpha 114.17
_cell_angle_beta 106.87
_cell_angle_gamma 90.00
loop_
_atom_site_label
_atom_site_type_symbol
_atom_site_fract_x
_atom_site_fract_y
_atom_site_fract_z
Tc1 Tc 0.665 0.165 0.330
Tc2 Tc 0.334 0.334 0.668
Tc3 Tc 0.000 0.500 0.000
Tc4 Tc 0.666 0.666 0.332
Tc5 Tc 0.335 0.835 0.670
Zr1 Zr 0.831 0.578 0.661
Zr2 Zr 0.831 0.084 0.661
Zr3 Zr 0.500 0.743 0.000
Zr4 Zr 0.500 0.257 0.000
Zr5 Zr 0.169 0.916 0.339
Zr6 Zr 0.169 0.422 0.339
Li1 Li 0.000 0.000 0.000
```

Computed properties:
ΔH_f (0 K)   -0.303 eV/atom



Entry 3:
LiZr2Tc: relaxed, GGA-PBE.

```
data_LiZr2Tc
_space_group_name_H-M_alt 'P 1'
_space_group_IT_number 1
_space_group_name_Hall 'P 1'
_cell_length_a 4.510
_cell_length_b 4.510
_cell_length_c 6.011
_cell_angle_alpha 82.61
_cell_angle_beta 82.61
_cell_angle_gamma 40.88
loop_
_atom_site_label
_atom_site_type_symbol
_atom_site_fract_x
_atom_site_fract_y
_atom_site_fract_z
Li1 Li 0.750 0.750 0.750
Tc1 Tc 0.250 0.250 0.250
Zr1 Zr 0.990 0.990 0.028
Zr2 Zr 0.510 0.510 0.472
```

Computed properties:
ΔH_f (0 K)   0.163 eV/atom



Entry 4:
LiZrTc: relaxed, GGA-PBE.

```
data_LiZrTc
_space_group_name_H-M_alt 'P 1'
_space_group_IT_number 1
_space_group_name_Hall 'P 1'
_cell_length_a 4.722
_cell_length_b 4.722
_cell_length_c 2.614
_cell_angle_alpha 90.00
_cell_angle_beta 90.00
_cell_angle_gamma 120.00
loop_
_atom_site_label
_atom_site_type_symbol
_atom_site_fract_x
_atom_site_fract_y
_atom_site_fract_z
Li1 Li 0.000 0.000 0.030
Tc1 Tc 0.667 0.333 0.289
Zr1 Zr 0.333 0.667 0.681
```

Computed properties:
ΔH_f (0 K)   0.135 eV/atom



Entry 5:
LiZr2Tc: relaxed, GGA-PBE.

```
data_LiZr2Tc
_space_group_name_H-M_alt 'P 1'
_space_group_IT_number 1
_space_group_name_Hall 'P 1'
_cell_length_a 2.962
_cell_length_b 2.962
_cell_length_c 9.714
_cell_angle_alpha 90.00
_cell_angle_beta 90.00
_cell_angle_gamma 113.72
loop_
_atom_site_label
_atom_site_type_symbol
_atom_site_fract_x
_atom_site_fract_y
_atom_site_fract_z
Li1 Li 0.000 0.000 0.531
Tc1 Tc 0.500 0.500 0.755
Zr1 Zr 0.000 0.000 0.965
Zr2 Zr 0.500 0.500 0.249
```

Computed properties:
ΔH_f (0 K)   0.183 eV/atom



Entry 6:
LiZr2Tc: relaxed, GGA-PBE.

```
data_LiZr2Tc
_space_group_name_H-M_alt 'P 1'
_space_group_IT_number 1
_space_group_name_Hall 'P 1'
_cell_length_a 9.418
_cell_length_b 9.418
_cell_length_c 9.418
_cell_angle_alpha 19.67
_cell_angle_beta 19.67
_cell_angle_gamma 19.67
loop_
_atom_site_label
_atom_site_type_symbol
_atom_site_fract_x
_atom_site_fract_y
_atom_site_fract_z
Li1 Li 0.250 0.250 0.250
Tc1 Tc 0.750 0.750 0.750
Zr1 Zr 0.011 0.011 0.011
Zr2 Zr 0.489 0.489 0.489
```

Computed properties:
ΔH_f (0 K)   0.141 eV/atom



- Look up the ΔH_f (0 K) of the third one.
  0.163 eV/atom